Computed, not measured: crystalline CaCo2O5 at its relaxed geometry at the GGA+U level of DFT.

```
data_CaCo2O5
_space_group_name_H-M_alt 'C m c m'
_space_group_IT_number 63
_space_group_name_Hall '-C 2c 2'
_cell_length_a 3.6699
_cell_length_b 11.1497
_cell_length_c 11.2390
_cell_angle_alpha 90.00
_cell_angle_beta 90.00
_cell_angle_gamma 90.00
loop_
_atom_site_label
_atom_site_fract_x
_atom_site_fract_y
_atom_site_fract_z
Ca1 0.0000 0.0951 0.2500
Co1 0.0000 0.2108 0.5955
O1 0.0000 0.0642 0.6212
O2 0.0000 0.2178 0.0708
O3 0.0000 0.2800 0.7500
```

Summary:
- Fermi-level density of states: 0.0321 states/eV per atom
- Energy relative to the lowest polymorph listed for this composition: 64 kJ/mol of formula units
- Calculated density: 3.44 g cm⁻³